1.
## Ba4Cd2Cl (PBE)

Data for crystalline Ba4Cd2Cl at its relaxed geometry.

Summary:
- Total DFT energy (no corrections): -2.21 eV/atom
- Crystal system: tetragonal
- Formation energy (no corrections): -0.59 eV per atom
- Mass density: 4.2 Mg/m³
- Volume: 643 Å³/cell

Cell lengths 6.146, 6.146, 17.025 Å; angles 90.00, 90.00, 90.00 degrees
Space group I4/mmm (No. 139)
Inequivalent atoms, fractional coordinates:
1 Ba 0.000 0.000 0.195
2 Ba 0.000 0.500 0.000
3 Cd 0.000 0.000 0.395
4 Cl 0.000 0.000 0.000

***

2.
## BaCdCl2 (PBE)

Data for crystalline BaCdCl2 at its relaxed geometry.

Summary:
- Total DFT energy (no corrections): -3.22 eV/atom
- Crystal system: cubic
- Formation energy (no corrections): -1.58 eV per atom
- Energy relative to the lowest polymorph listed for this composition: 85.5 meV/atom
- Mass density: 4.5 Mg/m³
- Volume: 478 Å³/cell

Cell lengths 7.820, 7.820, 7.820 Å; angles 90.00, 90.00, 90.00 degrees
Space group Fm-3m (No. 225)
Inequivalent atoms, fractional coordinates:
1 Ba 0.000 0.000 0.000
2 Cd 0.000 0.000 0.500
3 Cl 0.250 0.250 0.250

***

3.
## BaCd3Cl (PBE)

Data for crystalline BaCd3Cl at its relaxed geometry.

Summary:
- Total DFT energy (no corrections): -1.09 eV/atom
- Crystal system: cubic
- Formation energy (no corrections): 0.21 eV per atom
- Energy relative to the lowest polymorph listed for this composition: 319.0 meV/atom
- Mass density: 2.6 Mg/m³
- Volume: 330 Å³/cell

Cell lengths 6.913, 6.913, 6.913 Å; angles 90.00, 90.00, 90.00 degrees
Space group Pm-3m (No. 221)
Inequivalent atoms, fractional coordinates:
1 Ba 0.000 0.000 0.000
2 Cd 0.000 0.000 0.500
3 Cl 0.500 0.500 0.500

***

4.
## BaCdCo2Cl8 (PBE)

Data for crystalline BaCdCo2Cl8 at its relaxed geometry.

Summary:
- Total DFT energy (no corrections): -3.75 eV/atom
- Crystal system: trigonal
- Formation energy (no corrections): -1.09 eV per atom
- Mass density: 2.8 Mg/m³
- Volume: 386 Å³/cell

Cell lengths 7.1903, 7.1903, 8.6234 Å; angles 90.00, 90.00, 120.00 degrees
Space group P-3m1 (No. 164)
Inequivalent atoms, fractional coordinates:
1 Ba 0.0000 0.0000 0.0000
2 Cd 0.0000 0.0000 0.5000
3 Co 0.3333 0.6667 0.2183
4 Cl 0.1591 0.3183 0.2933
5 Cl 0.3333 0.6667 0.9631

***

5.
## Ba2CrCdCl (PBE)

Data for crystalline Ba2CrCdCl at its relaxed geometry.

Summary:
- Total DFT energy (no corrections): -3.08 eV/atom
- Crystal system: tetragonal
- Formation energy (no corrections): 0.16 eV per atom
- Mass density: 4.7 Mg/m³
- Volume: 168 Å³/cell

Cell lengths 6.217, 6.217, 4.338 Å; angles 90.00, 90.00, 90.00 degrees
Space group P4/mmm (No. 123)
Inequivalent atoms, fractional coordinates:
1 Ba 0.000 0.500 0.000
2 Cr 0.000 0.000 0.000
3 Cd 0.500 0.500 0.500
4 Cl 0.000 0.000 0.500

***

6.
## Cs2BaCdCl6 (PBE)

Data for crystalline Cs2BaCdCl6 at its relaxed geometry.

Summary:
- Total DFT energy (no corrections): -3.43 eV/atom
- Crystal system: orthorhombic
- Formation energy (no corrections): -1.87 eV per atom
- Mass density: 3.3 Mg/m³
- Volume: 730 Å³/cell

Cell lengths 7.854, 11.318, 8.213 Å; angles 90.00, 90.00, 90.00 degrees
Space group Pmmn (No. 59, origin choice 2)
Inequivalent atoms, fractional coordinates:
1 Cs 0.250 0.017 0.218
2 Ba 0.250 0.250 0.728
3 Cd 0.250 0.750 0.766
4 Cl 0.006 0.750 0.545
5 Cl 0.015 0.750 0.003
6 Cl 0.250 0.515 0.772

***

7.
## Cs3BaCd2Cl9 (PBE)

Data for crystalline Cs3BaCd2Cl9 at its relaxed geometry.

Summary:
- Total DFT energy (no corrections): -3.27 eV/atom
- Crystal system: trigonal
- Formation energy (no corrections): -1.74 eV per atom
- Mass density: 3.5 Mg/m³
- Volume: 515 Å³/cell

Cell lengths 7.7361, 7.7361, 9.9427 Å; angles 90.00, 90.00, 120.00 degrees
Space group P-3m1 (No. 164)
Inequivalent atoms, fractional coordinates:
1 Cs 0.0000 0.0000 0.0000
2 Cs 0.3333 0.6667 0.7081
3 Ba 0.0000 0.0000 0.5000
4 Cd 0.3333 0.6667 0.1558
5 Cl 0.0000 0.5000 0.0000
6 Cl 0.1732 0.3463 0.3071

***

8.
## Cs2BaCdCl6 (PBE)

Data for crystalline Cs2BaCdCl6 at its relaxed geometry.

Summary:
- Total DFT energy (no corrections): -3.43 eV/atom
- Crystal system: cubic
- Formation energy (no corrections): -1.87 eV per atom
- Mass density: 3.3 Mg/m³
- Volume: 1452 Å³/cell

Cell lengths 11.325, 11.325, 11.325 Å; angles 90.00, 90.00, 90.00 degrees
Space group Fm-3m (No. 225)
Inequivalent atoms, fractional coordinates:
1 Cs 0.250 0.250 0.250
2 Ba 0.000 0.000 0.000
3 Cd 0.000 0.000 0.500
4 Cl 0.000 0.000 0.266